# FeSi2, optimized geometry, DFT GGA-PBE
data_FeSi2
_space_group_name_H-M_alt 'P -6 2 m'
_space_group_IT_number 189
_space_group_name_Hall 'P -6 -2'
_cell_length_a 6.5577
_cell_length_b 6.5577
_cell_length_c 2.8280
_cell_angle_alpha 90.00
_cell_angle_beta 90.00
_cell_angle_gamma 120.00
loop_
_atom_site_label
_atom_site_fract_x
_atom_site_fract_y
_atom_site_fract_z
Fe1 0.0000 0.0000 0.0000
Fe2 0.3333 0.6667 0.5000
Si1 0.0000 0.2805 0.5000
Si2 0.0000 0.6243 0.0000
# Formation energy (no corrections), kJ per mole of atoms: -22.2
# Magnetization, μB/f.u.: 0.00

=====

# Fe2Si, optimized geometry, DFT GGA-PBE
data_Fe2Si
_space_group_name_H-M_alt 'P -3 m 1'
_space_group_IT_number 164
_space_group_name_Hall '-P 3 2"'
_cell_length_a 2.5800
_cell_length_b 2.5800
_cell_length_c 5.7117
_cell_angle_alpha 90.00
_cell_angle_beta 90.00
_cell_angle_gamma 120.00
loop_
_atom_site_label
_atom_site_fract_x
_atom_site_fract_y
_atom_site_fract_z
Fe1 0.3333 0.6667 0.3300
Si1 0.0000 0.0000 0.0000
# Formation energy (no corrections), kJ per mole of atoms: -8.4
# Magnetization, μB/f.u.: 1.95